# 1
DFT (GGA-PBE) results for Li2MnCuTe after structural relaxation.

Calculated values
**Space group**: P4/mmm, No. 123

a = 5.0239 Å, b = 5.1547 Å, c = 5.0239 Å
α = 90.00°, β = 90.00°, γ = 90.00°
Closest atoms and distances in Å follow each position.
Element x y z (fractional)
Mn1 0.0000 0.5000 0.0000  2 Te 2.58
Te1 0.0000 0.0000 0.0000  4 Li 2.51, 2 Mn 2.58
Cu1 0.5000 0.5000 0.5000  4 Mn 3.55, 8 Li 3.60
Li1 0.0000 0.0000 0.5000  2 Te 2.51
Li2 0.5000 0.0000 0.0000  2 Te 2.51

***

# 2
DFT (GGA-PBE) results for Li2MnCuTe after structural relaxation.

Calculated values
**Space group**: P4/mmm, No. 123

a = 4.8223 Å, b = 4.8102 Å, c = 4.8223 Å
α = 90.00°, β = 90.00°, γ = 90.00°
Closest atoms and distances in Å follow each position.
Element x y z (fractional)
Mn1 0.0000 0.0000 0.0000  2 Te 2.41, 4 Li 2.41
Te1 0.0000 0.5000 0.0000  2 Mn 2.41
Cu1 0.5000 0.5000 0.5000  8 Li 3.41, 4 Te 3.41
Li1 0.0000 0.0000 0.5000  2 Mn 2.41
Li2 0.5000 0.0000 0.0000  2 Mn 2.41

***

# 3
DFT (GGA-PBE) results for LiMnZnCu after structural relaxation.

Calculated values
**E_form**: 0.02 eV/atom
**Space group**: F-43m, No. 216

a = 4.2117 Å, b = 4.2117 Å, c = 4.2117 Å
α = 60.00°, β = 60.00°, γ = 60.00°
Closest atoms and distances in Å follow each position.
Element x y z (fractional)
Zn1 0.5000 0.5000 0.5000  4 Cu 2.58, 4 Li 2.58
Mn1 0.0000 0.0000 0.0000  4 Li 2.58, 4 Cu 2.58
Cu1 0.2500 0.2500 0.2500  4 Mn 2.58, 4 Zn 2.58
Li1 0.7500 0.7500 0.7500  4 Mn 2.58, 4 Zn 2.58

***

# 4
DFT (GGA-PBE) results for LiZrMn2Cu after structural relaxation.

Calculated values
**E_form**: 0.78 eV/atom
**Space group**: P4/mmm, No. 123

a = 4.6810 Å, b = 4.8769 Å, c = 4.6810 Å
α = 90.00°, β = 90.00°, γ = 90.00°
Closest atoms and distances in Å follow each position.
Element x y z (fractional)
Mn1 0.0000 0.0000 0.5000  2 Cu 2.34
Mn2 0.5000 0.0000 0.0000  2 Cu 2.34
Cu1 0.0000 0.0000 0.0000  4 Mn 2.34, 2 Zr 2.44
Zr1 0.0000 0.5000 0.0000  2 Cu 2.44
Li1 0.5000 0.5000 0.5000  4 Zr 3.31, 8 Mn 3.38

***

# 5
DFT (GGA-PBE) results for LiCuMo4 after structural relaxation.

Calculated values
**E_form**: 0.62 eV/atom
**Space group**: F-43m, No. 216

a = 5.2064 Å, b = 5.2064 Å, c = 5.2064 Å
α = 60.00°, β = 60.00°, γ = 60.00°
Closest atoms and distances in Å follow each position.
Element x y z (fractional)
Li1 0.0000 0.0000 0.0000  12 Mo 3.05, 4 Cu 3.19
Cu1 0.2500 0.2500 0.2500  12 Mo 3.05, 4 Li 3.19
Mo1 0.6255 0.6255 0.1235  6 Mo 2.59-2.61
Mo2 0.6255 0.1235 0.6255  6 Mo 2.59-2.61
Mo3 0.6255 0.6255 0.6255  6 Mo 2.59-2.61
Mo4 0.1235 0.6255 0.6255  6 Mo 2.59-2.61

***

# 6
DFT (GGA-PBE) results for LiCu2Mo after structural relaxation.

Calculated values
**E_form**: 0.17 eV/atom
**Space group**: Cmmm, No. 65

a = 4.6614 Å, b = 7.3589 Å, c = 2.5394 Å
α = 69.78°, β = 90.02°, γ = 134.04°
Closest atoms and distances in Å follow each position.
Element x y z (fractional)
Cu1 0.0000 0.0000 0.0000  2 Cu 2.54, 4 Mo 2.65, 4 Li 2.65
Cu2 0.0000 0.5000 0.5000  2 Cu 2.54, 4 Li 2.65, 4 Mo 2.65
Li1 0.5000 0.5000 0.0000  2 Li 2.54, 8 Cu 2.65
Mo1 0.5000 0.0000 0.5000  2 Mo 2.54, 8 Cu 2.65

***

# 7
DFT (GGA-PBE) results for LiCu2Mo after structural relaxation.

Calculated values
**E_form**: 0.36 eV/atom
**Space group**: Fm-3m, No. 225

a = 4.2163 Å, b = 4.2163 Å, c = 4.2163 Å
α = 60.00°, β = 60.00°, γ = 60.00°
Closest atoms and distances in Å follow each position.
Element x y z (fractional)
Mo1 0.5000 0.5000 0.5000  8 Cu 2.58
Cu1 0.2500 0.2500 0.2500  4 Mo 2.58, 4 Li 2.58
Cu2 0.7500 0.7500 0.7500  4 Mo 2.58, 4 Li 2.58
Li1 0.0000 0.0000 0.0000  8 Cu 2.58

***

# 8
DFT (GGA-PBE) results for LiCu2Mo after structural relaxation.

Calculated values
**E_form**: 0.17 eV/atom
**Space group**: P4/mmm, No. 123

a = 4.6588 Å, b = 4.6588 Å, c = 2.5385 Å
α = 90.00°, β = 90.00°, γ = 90.00°
Closest atoms and distances in Å follow each position.
Element x y z (fractional)
Cu1 0.0000 0.0000 0.0000  2 Cu 2.54, 4 Mo 2.65, 4 Li 2.65
Cu2 0.5000 0.5000 0.0000  2 Cu 2.54, 4 Mo 2.65, 4 Li 2.65
Li1 0.5000 0.0000 0.5000  2 Li 2.54, 8 Cu 2.65
Mo1 0.0000 0.5000 0.5000  2 Mo 2.54, 8 Cu 2.65

***

# 9
DFT (GGA-PBE) results for LiCu2Mo after structural relaxation.

Calculated values
**E_form**: 0.20 eV/atom
**Space group**: P2/m, No. 10

a = 3.8430 Å, b = 2.5119 Å, c = 6.2229 Å
α = 64.55°, β = 90.00°, γ = 90.00°
Closest atoms and distances in Å follow each position.
Element x y z (fractional)
Cu1 0.0000 0.9909 0.9970  3 Cu 2.51-2.78, 4 Li 2.67-2.73, 4 Mo 2.68-2.69
Cu2 0.0000 0.5091 0.5030  3 Cu 2.51-2.78, 4 Li 2.67-2.73, 4 Mo 2.68-2.69
Li1 0.5000 0.2500 0.2500  2 Li 2.51, 8 Cu 2.67-2.73, 2 Mo 2.81
Mo1 0.5000 0.7500 0.7500  2 Mo 2.51, 8 Cu 2.68-2.69, 2 Li 2.81

***

# 10
DFT (GGA-PBE) results for LiCu2Mo after structural relaxation.

Calculated values
**E_form**: 0.45 eV/atom
**Space group**: I-4m2, No. 119

a = 4.1759 Å, b = 4.1759 Å, c = 4.1759 Å
α = 120.09°, β = 120.09°, γ = 89.85°
Closest atoms and distances in Å follow each position.
Element x y z (fractional)
Cu1 0.0000 0.0000 0.0000  4 Cu 2.56, 4 Mo 2.56
Cu2 0.2500 0.7500 0.5000  4 Li 2.56, 4 Cu 2.56
Li1 0.5000 0.5000 0.0000  4 Mo 2.56, 4 Cu 2.56
Mo1 0.7500 0.2500 0.5000  4 Cu 2.56, 4 Li 2.56

***

# 11
DFT (GGA-PBE) results for LiCu2Mo after structural relaxation.

Calculated values
**E_form**: 0.23 eV/atom
**Space group**: Cm, No. 8

a = 4.9794 Å, b = 4.9794 Å, c = 4.6406 Å
α = 75.65°, β = 75.65°, γ = 29.58°
Closest atoms and distances in Å follow each position.
Element x y z (fractional)
Cu1 0.0197 0.0197 0.0522  4 Cu 2.54-2.55, 3 Mo 2.63-2.65, 4 Li 2.65-2.69
Cu2 0.7248 0.7248 0.7008  4 Cu 2.54-2.55, 3 Li 2.56-2.72, 4 Mo 2.66-2.70
Li1 0.4829 0.4829 0.5662  2 Li 2.54, 7 Cu 2.56-2.72
Mo1 0.2725 0.2725 0.1809  2 Mo 2.54, 7 Cu 2.63-2.70

***

# 12
DFT (GGA-PBE) results for LiCu3Mo after structural relaxation.

Calculated values
**E_form**: 0.79 eV/atom
**Space group**: Pm-3m, No. 221

a = 4.0073 Å, b = 4.0073 Å, c = 4.0073 Å
α = 90.00°, β = 90.00°, γ = 90.00°
Closest atoms and distances in Å follow each position.
Element x y z (fractional)
Mo1 0.5000 0.5000 0.5000  12 Cu 2.83
Cu1 0.0000 0.5000 0.0000  2 Li 2.00
Cu2 0.0000 0.0000 0.5000  2 Li 2.00
Cu3 0.5000 0.0000 0.0000  2 Li 2.00
Li1 0.0000 0.0000 0.0000  6 Cu 2.00

***

# 13
DFT (GGA-PBE) results for LiCu2Mo after structural relaxation.

Calculated values
**E_form**: 0.42 eV/atom
**Space group**: Pmmm, No. 47

a = 2.5586 Å, b = 4.5525 Å, c = 4.5921 Å
α = 90.00°, β = 90.00°, γ = 90.00°
Closest atoms and distances in Å follow each position.
Element x y z (fractional)
Cu1 0.0000 0.0000 0.0000  6 Cu 2.56-2.61, 4 Li 2.63
Cu2 0.5000 0.5000 0.0000  6 Cu 2.56-2.61, 4 Mo 2.63
Li1 0.5000 0.0000 0.5000  2 Li 2.56, 4 Mo 2.61, 4 Cu 2.63
Mo1 0.0000 0.5000 0.5000  2 Mo 2.56, 4 Li 2.61, 4 Cu 2.63

***

# 14
DFT (GGA-PBE) results for LiCu2Mo after structural relaxation.

Calculated values
**E_form**: 0.42 eV/atom
**Space group**: Immm, No. 71

a = 5.2026 Å, b = 5.2026 Å, c = 5.2026 Å
α = 151.60°, β = 128.37°, γ = 59.98°
Closest atoms and distances in Å follow each position.
Element x y z (fractional)
Cu1 0.9880 0.9880 0.0000  2 Li 2.50, 6 Cu 2.55-2.61, 2 Mo 2.68
Cu2 0.5120 0.5120 0.0000  2 Li 2.50, 6 Cu 2.55-2.61, 2 Mo 2.68
Li1 0.7500 0.2500 0.5000  4 Cu 2.50, 2 Li 2.55, 4 Mo 2.60
Mo1 0.2500 0.7500 0.5000  2 Mo 2.55, 4 Li 2.60, 4 Cu 2.68

***

# 15
DFT (GGA-PBE) results for LiCu2Mo after structural relaxation.

Calculated values
**E_form**: 0.18 eV/atom
**Space group**: Cmm2, No. 35

a = 2.5959 Å, b = 2.5959 Å, c = 8.0326 Å
α = 90.00°, β = 90.00°, γ = 87.65°
Closest atoms and distances in Å follow each position.
Element x y z (fractional)
Cu1 0.0000 0.0000 0.0182  8 Cu 2.53-2.60, 4 Mo 2.72-2.77
Cu2 0.5000 0.5000 0.2391  8 Cu 2.53-2.60, 4 Li 2.64-2.69
Li1 0.0000 0.0000 0.4792  4 Li 2.60, 4 Cu 2.64-2.69, 2 Mo 2.91
Mo1 0.5000 0.5000 0.7635  4 Mo 2.60, 4 Cu 2.72-2.77, 2 Li 2.91

***

no.,raw total energy (eV per atom)
1,-3.71
2,-3.47
3,-4.09
4,-5.80
5,-7.60
6,-5.07
7,-4.87
8,-5.06
9,-5.03
10,-4.79
11,-5.01
12,-4.21
13,-4.81
14,-4.82
15,-5.05